## P
Material: Cs2PtCl7
Method: DFT, PBE-GGA
State: optimized geometry

Lattice parameters (Å, degrees): 10.951 10.513 9.302 70.80 53.94 58.61
Each line ends with the local moment (μB).
Positions (direct):
Cs (0.597, 0.872, 0.737)  0.00
Cs (0.793, 0.372, 0.237)  0.00
Cs (0.207, 0.628, 0.763)  0.00
Cs (0.403, 0.128, 0.263)  0.00
Pt (0.865, 0.250, 0.750)  0.00
Pt (0.135, 0.750, 0.250)  0.00
Cl (0.712, 0.479, 0.878)  0.00
Cl (0.931, 0.979, 0.378)  0.00
Cl (0.204, 0.864, 0.969)  0.00
Cl (0.452, 0.252, 0.572)  0.39
Cl (0.658, 0.250, 0.750)  0.00
Cl (0.963, 0.364, 0.469)  0.00
Cl (0.276, 0.248, 0.928)  0.39
Cl (0.724, 0.752, 0.072)  0.39
Cl (0.037, 0.636, 0.531)  0.00
Cl (0.342, 0.750, 0.250)  0.00
Cl (0.548, 0.748, 0.428)  0.39
Cl (0.796, 0.136, 0.031)  0.00
Cl (0.069, 0.021, 0.622)  0.00
Cl (0.288, 0.521, 0.122)  0.00

Computed properties:
* volume: 738.6 Å³ per cell
* spin magnetization: 1.03 μB per formula unit

=====

## Q
Material: Cs2PtCl7
Method: DFT, PBE-GGA
State: optimized geometry

Lattice parameters (Å, degrees): 7.479 7.479 7.732 61.08 61.08 90.00
Each line ends with the local moment (μB).
Positions (direct):
Cs (0.750, 0.250, 0.500)  0.00
Cs (0.250, 0.750, 0.500)  0.00
Pt (0.000, 0.000, 0.000)  0.02
Cl (0.500, 0.500, 0.000)  0.47
Cl (0.208, 0.208, 0.583)  0.02
Cl (0.792, 0.792, 0.417)  0.02
Cl (0.224, 0.224, 0.000)  0.06
Cl (0.776, 0.776, 0.000)  0.06
Cl (0.776, 0.224, 0.000)  0.08
Cl (0.224, 0.776, 0.000)  0.08

Computed properties:
* volume: 315.5 Å³ per cell
* density of states at the Fermi level: 4.65 states/eV per cell
* spin magnetization: 1.00 μB per formula unit

=====

Most stable to least stable, the ends of the list are Q and P.

=====

## P
Material: CsPtCl2
Method: DFT, PBE-GGA
State: optimized geometry

Lattice parameters (Å, degrees): 6.112 6.112 8.561 69.09 69.09 90.00
Positions (direct):
Cs (0.500, 0.500, 0.000)
Cs (0.250, 0.750, 0.500)
Pt (0.000, 0.000, 0.000)
Pt (0.750, 0.250, 0.500)
Cl (0.781, 0.125, 0.250)
Cl (0.969, 0.625, 0.250)
Cl (0.375, 0.219, 0.750)
Cl (0.875, 0.031, 0.750)

Computed properties:
* volume: 276.1 Å³ per cell
* density of states at the Fermi level: 5.25 states/eV per cell
* spin magnetization: 0.00 μB per formula unit

=====

## Q
Material: CsPtCl2
Method: DFT, PBE-GGA
State: optimized geometry

Lattice parameters (Å, degrees): 6.871 6.871 6.871 52.45 52.45 52.45
Each line ends with the local moment (μB).
Positions (direct):
Cs (0.500, 0.500, 0.500)  0.00
Pt (0.000, 0.000, 0.000)  0.67
Cl (0.875, 0.875, 0.875)  0.12
Cl (0.125, 0.125, 0.125)  0.12

Computed properties:
* volume: 188.7 Å³ per cell
* density of states at the Fermi level: 4.83 states/eV per cell
* spin magnetization: 1.00 μB per formula unit

=====

## R
Material: CsPtCl2
Method: DFT, PBE-GGA
State: optimized geometry

Lattice parameters (Å, degrees): 5.349 5.349 5.349 60.00 60.00 60.00
Each line ends with the local moment (μB).
Positions (direct):
Cs (0.000, 0.000, 0.000)  0.00
Pt (0.500, 0.500, 0.500)  0.78
Cl (0.250, 0.250, 0.250)  0.08
Cl (0.750, 0.750, 0.750)  0.08

Computed properties:
* volume: 108.2 Å³ per cell
* density of states at the Fermi level: 7.57 states/eV per cell
* spin magnetization: 1.00 μB per formula unit

=====

Most stable to least stable, the ends of the list are Q and R.

=====

## P
Material: CsPtSCl2
Method: DFT, PBE-GGA
State: optimized geometry

Lattice parameters (Å, degrees): 6.224 6.224 5.602 90.00 90.00 90.00
Each line ends with the local moment (μB).
Positions (direct):
Cs (0.000, 0.000, 0.000)  0.03
S (0.000, 0.000, 0.500)  0.43
Pt (0.500, 0.500, 0.500)  0.76
Cl (0.000, 0.500, 0.000)  0.18
Cl (0.500, 0.000, 0.000)  0.18

Computed properties:
* volume: 217.0 Å³ per cell
* density of states at the Fermi level: 16.03 states/eV per cell
* spin magnetization: 2.05 μB per formula unit

=====

## Q
Material: CsPtSCl2
Method: DFT, PBE-GGA
State: optimized geometry

Lattice parameters (Å, degrees): 5.395 5.395 4.515 90.00 90.00 90.00
Positions (direct):
Cs (0.500, 0.500, 0.500)
S (0.000, 0.000, 0.500)
Pt (0.000, 0.000, 0.000)
Cl (0.000, 0.500, 0.000)
Cl (0.500, 0.000, 0.000)

Computed properties:
* volume: 131.4 Å³ per cell
* density of states at the Fermi level: 1.22 states/eV per cell
* spin magnetization: 0.00 μB per formula unit

=====

Most stable to least stable, the ends of the list are Q and P.

=====

## P
Material: Cs3PuCl8
Method: DFT, PBE-GGA
State: optimized geometry

Lattice parameters (Å, degrees): 9.454 10.492 10.492 120.00 90.00 90.00
Each line ends with the local moment (μB).
Positions (direct):
Cs (0.697, 0.698, 0.849)  0.00
Cs (0.697, 0.151, 0.302)  0.00
Cs (0.697, 0.151, 0.849)  0.00
Cs (0.197, 0.302, 0.151)  0.00
Cs (0.197, 0.849, 0.698)  0.00
Cs (0.197, 0.849, 0.151)  0.00
Pu (0.154, 0.333, 0.667)  3.87
Pu (0.654, 0.667, 0.333)  3.87
Cl (0.002, 0.104, 0.552)  -0.09
Cl (0.002, 0.448, 0.896)  -0.09
Cl (0.002, 0.448, 0.552)  -0.09
Cl (0.502, 0.896, 0.448)  -0.09
Cl (0.502, 0.552, 0.104)  -0.09
Cl (0.502, 0.552, 0.448)  -0.09
Cl (0.806, 0.434, 0.217)  -0.08
Cl (0.806, 0.783, 0.566)  -0.08
Cl (0.806, 0.783, 0.217)  -0.08
Cl (0.306, 0.566, 0.783)  -0.08
Cl (0.306, 0.217, 0.434)  -0.08
Cl (0.306, 0.217, 0.783)  -0.08
Cl (0.652, 0.333, 0.667)  0.15
Cl (0.152, 0.667, 0.333)  0.15
Cl (0.954, 0.000, 0.000)  0.02
Cl (0.454, 0.000, 0.000)  0.02

Computed properties:
* volume: 901.3 Å³ per cell
* density of states at the Fermi level: 49.60 states/eV per cell
* spin magnetization: 3.51 μB per formula unit

=====

## Q
Material: Cs3PuCl8
Method: DFT, PBE-GGA
State: optimized geometry

Lattice parameters (Å, degrees): 7.716 7.716 9.305 114.50 114.50 90.00
Each line ends with the local moment (μB).
Positions (direct):
Cs (0.750, 0.250, 0.500)  -0.01
Cs (0.500, 0.500, 0.000)  0.00
Cs (0.250, 0.750, 0.500)  -0.01
Pu (0.000, 0.000, 0.000)  4.05
Cl (0.310, 0.310, 0.210)  -0.12
Cl (0.310, 0.900, 0.210)  -0.12
Cl (0.100, 0.690, 0.790)  -0.12
Cl (0.100, 0.100, 0.790)  -0.12
Cl (0.900, 0.900, 0.210)  -0.12
Cl (0.900, 0.310, 0.210)  -0.12
Cl (0.690, 0.100, 0.790)  -0.12
Cl (0.690, 0.690, 0.790)  -0.12

Computed properties:
* volume: 448.8 Å³ per cell
* density of states at the Fermi level: 7.44 states/eV per cell
* spin magnetization: 2.88 μB per formula unit

=====

Most stable to least stable, the ends of the list are P and Q.

=====

## P
Material: CsPu2Cl8
Method: DFT, PBE-GGA
State: optimized geometry

Lattice parameters (Å, degrees): 6.577 6.577 8.520 90.00 90.00 90.00
Each line ends with the local moment (μB).
Positions (direct):
Cs (0.500, 0.500, 0.500)  0.00
Pu (0.500, 0.000, 0.000)  4.73
Pu (0.000, 0.500, 0.000)  4.73
Cl (0.751, 0.751, 0.186)  -0.07
Cl (0.751, 0.249, 0.814)  -0.07
Cl (0.751, 0.751, 0.814)  -0.07
Cl (0.751, 0.249, 0.186)  -0.07
Cl (0.249, 0.751, 0.186)  -0.07
Cl (0.249, 0.751, 0.814)  -0.07
Cl (0.249, 0.249, 0.186)  -0.07
Cl (0.249, 0.249, 0.814)  -0.07

Computed properties:
* volume: 368.5 Å³ per cell
* density of states at the Fermi level: 16.95 states/eV per cell
* spin magnetization: 9.00 μB per formula unit

=====

## Q
Material: CsPu2Cl8
Method: DFT, PBE-GGA
State: optimized geometry

Lattice parameters (Å, degrees): 5.381 9.974 9.975 120.00 90.01 90.01
Each line ends with the local moment (μB).
Positions (direct):
Cs (0.000, 0.000, 0.000)  0.00
Pu (0.280, 0.333, 0.667)  4.66
Pu (0.720, 0.667, 0.333)  4.66
Cl (0.219, 0.667, 0.333)  -0.07
Cl (0.781, 0.333, 0.667)  -0.07
Cl (0.717, 0.812, 0.184)  -0.06
Cl (0.283, 0.184, 0.372)  -0.06
Cl (0.283, 0.628, 0.812)  -0.06
Cl (0.283, 0.188, 0.816)  -0.06
Cl (0.717, 0.816, 0.628)  -0.06
Cl (0.717, 0.372, 0.188)  -0.06

Computed properties:
* volume: 463.6 Å³ per cell
* density of states at the Fermi level: 24.19 states/eV per cell
* spin magnetization: 9.00 μB per formula unit

=====

Most stable to least stable, the ends of the list are P and Q.